[1]
BaReTc: optimized geometry, PBE.

Cell and atoms, written as CIF:
```
data_BaReTc
_chemical_formula_sum 'Ba4 Re4 Tc4'
_symmetry_space_group_name_H-M 'F -4 3 m'
_symmetry_Int_Tables_number 216
_symmetry_space_group_name_Hall 'F -4 2 3'
_cell_length_a 6.585
_cell_length_b 6.585
_cell_length_c 6.585
_cell_angle_alpha 90.00
_cell_angle_beta 90.00
_cell_angle_gamma 90.00
loop_
_atom_site_label
_atom_site_type_symbol
_atom_site_fract_x
_atom_site_fract_y
_atom_site_fract_z
Ba1 Ba 0.000 0.000 0.000
Re1 Re 0.250 0.250 0.250
Tc1 Tc 0.250 0.250 0.750
```

Calculated values
Calculated total energy   -16.4 eV per formula unit
Energy of formation from the pure elements   2788 meV per atom
Size of the total moment   0.0461 μB/atom

---

[2]
BaRe2Tc: optimized geometry, PBE.

Cell and atoms, written as CIF:
```
data_BaRe2Tc
_chemical_formula_sum 'Ba1 Re2 Tc1'
_symmetry_space_group_name_H-M 'P 4/m m m'
_symmetry_Int_Tables_number 123
_symmetry_space_group_name_Hall '-P 4 2'
_cell_length_a 3.264
_cell_length_b 3.264
_cell_length_c 7.971
_cell_angle_alpha 90.00
_cell_angle_beta 90.00
_cell_angle_gamma 90.00
loop_
_atom_site_label
_atom_site_type_symbol
_atom_site_fract_x
_atom_site_fract_y
_atom_site_fract_z
Ba1 Ba 0.000 0.000 0.000
Re1 Re 0.500 0.500 0.340
Tc1 Tc 0.000 0.000 0.500
```

Calculated values
Calculated total energy   -33.9 eV per formula unit
Energy of formation from the pure elements   829 meV per atom
Size of the total moment   0.0000 μB/atom

---

Q: size of the total moment of number 2 (BaRe2Tc)?
A: 0.0000 μB/atom